# 1
Y3Sc7Ni4: relaxed, PBE.

Summary:
**Space-group type**: C2/m (12)
**M_tot**: 0.0 μB per formula unit
**E_tot**: -6.44 eV per atom
**Fermi-level density of states**: 14.18 states/eV/f.u.
**Energy of formation from the pure elements**: -0.23 eV/atom

Structure (extended XYZ):
```
14
Lattice="3.506 0.000 0.884 1.136 8.725 2.888 -0.594 -0.064 9.744" Properties=species:S:1:pos:R:3 pbc="T T T"
Y 1.226 1.686 2.532
Y 2.822 6.975 10.984
Y 0.271 4.330 6.316
Sc 1.744 7.308 7.866
Sc 1.563 1.871 8.585
Sc 2.896 3.716 10.692
Sc 2.304 1.352 5.649
Sc 1.152 4.944 2.824
Sc 0.000 0.000 0.000
Sc 2.485 6.790 4.930
Ni 2.598 3.666 4.482
Ni 1.450 4.994 9.033
Ni 3.928 8.145 6.601
Ni 0.120 0.516 6.915
```

---

# 2
Ca2Y2Sb2S: relaxed, PBE.

Summary:
**Space-group type**: I4/mmm (139)
**M_tot**: 0.0 μB per formula unit
**E_tot**: -5.32 eV per atom
**Fermi-level density of states**: 5.54 states/eV/f.u.

Structure (extended XYZ):
```
7
Lattice="-0.127 4.996 -1.183 -4.915 -0.460 -1.416 0.191 -0.543 8.829" Properties=species:S:1:pos:R:3 pbc="T T T"
Ca -0.809 0.599 2.616
Ca -4.041 3.393 3.614
Y -2.458 -0.230 -0.708
Y -0.063 2.498 -0.592
Sb -1.718 1.271 5.551
Sb -3.133 2.721 0.678
S 0.000 0.000 0.000
```